# 1
# Na2NbWO6, relaxed, DFT GGA+U
data_Na2NbWO6
_chemical_formula_sum 'Na2 Nb1 W1 O6'
_space_group_name_H-M_alt 'P 1'
_space_group_IT_number 1
_cell_length_a 3.985
_cell_length_b 5.632
_cell_length_c 5.632
_cell_angle_alpha 90.00
_cell_angle_beta 90.00
_cell_angle_gamma 90.00
loop_
_space_group_symop_operation_xyz
'x,y,z'
loop_
_atom_site_label
_atom_site_fract_x
_atom_site_fract_y
_atom_site_fract_z
O1 0.145 0.500 0.500
O2 0.645 0.247 0.753
O3 0.645 0.247 0.247
O4 0.145 0.000 0.000
O5 0.645 0.753 0.753
O6 0.645 0.753 0.247
Na1 0.144 0.500 0.000
Na2 0.144 0.000 0.500
Nb1 0.645 0.500 0.500
W1 0.645 0.000 0.000
# Total moment ... 0.825 μB per cell
# Uncorrected energy ... -71.57 eV/cell
# Space group ... P4mm

=====

# 2
# NaNbWO6, relaxed, DFT GGA+U
data_NaNbWO6
_chemical_formula_sum 'Na2 Nb2 W2 O12'
_space_group_name_H-M_alt 'P 1'
_space_group_IT_number 1
_cell_length_a 7.430
_cell_length_b 7.430
_cell_length_c 7.430
_cell_angle_alpha 120.04
_cell_angle_beta 119.90
_cell_angle_gamma 90.05
loop_
_space_group_symop_operation_xyz
'x,y,z'
loop_
_atom_site_label
_atom_site_fract_x
_atom_site_fract_y
_atom_site_fract_z
O1 0.071 0.321 0.750
O2 0.940 0.064 0.247
O3 0.060 0.936 0.753
O4 0.317 0.693 0.253
O5 0.683 0.307 0.747
O6 0.683 0.936 0.375
O7 0.060 0.307 0.125
O8 0.929 0.679 0.250
O9 0.940 0.693 0.875
O10 0.317 0.064 0.625
O11 0.306 0.056 0.250
O12 0.694 0.944 0.750
W1 0.500 0.000 0.500
W2 0.000 0.000 0.000
Nb1 0.000 0.500 0.000
Nb2 0.000 0.000 0.500
Na1 0.000 0.500 0.500
Na2 0.500 0.500 0.000
# Excess energy over the best structure of this formula in the dataset ... 0.00 eV/f.u.
# Total moment ... 0.000 μB per cell
# Space group ... Imma

=====

# 3
# NaNb2WO8, relaxed, DFT GGA+U
data_NaNb2WO8
_chemical_formula_sum 'Na1 Nb2 W1 O8'
_space_group_name_H-M_alt 'P 1'
_space_group_IT_number 1
_cell_length_a 4.863
_cell_length_b 4.853
_cell_length_c 6.402
_cell_angle_alpha 89.21
_cell_angle_beta 90.13
_cell_angle_gamma 87.82
loop_
_space_group_symop_operation_xyz
'x,y,z'
loop_
_atom_site_label
_atom_site_fract_x
_atom_site_fract_y
_atom_site_fract_z
O1 0.788 0.213 0.220
O2 0.794 0.209 0.789
O3 0.212 0.787 0.780
O4 0.206 0.791 0.211
O5 0.699 0.704 0.006
O6 0.681 0.677 0.499
O7 0.319 0.323 0.501
O8 0.301 0.296 0.994
W1 0.000 0.000 0.000
Na1 0.000 0.000 0.500
Nb1 0.533 0.521 0.257
Nb2 0.467 0.479 0.743
# Total moment ... 1.000 μB per cell
# Uncorrected energy ... -95.86 eV/cell
# Space group ... P-1

=====

# 4
# Na2Nb2W2O13, relaxed, DFT GGA+U
data_Na2Nb2W2O13
_chemical_formula_sum 'Na2 Nb2 W2 O13'
_space_group_name_H-M_alt 'P 1'
_space_group_IT_number 1
_cell_length_a 7.407
_cell_length_b 7.415
_cell_length_c 7.407
_cell_angle_alpha 117.93
_cell_angle_beta 119.30
_cell_angle_gamma 92.39
loop_
_space_group_symop_operation_xyz
'x,y,z'
loop_
_atom_site_label
_atom_site_fract_x
_atom_site_fract_y
_atom_site_fract_z
O1 0.578 0.579 0.000
O2 0.426 0.918 0.492
O3 0.203 0.200 0.997
O4 0.060 0.555 0.124
O5 0.432 0.555 0.496
O6 0.800 0.792 0.992
O7 0.059 0.917 0.487
O8 0.175 0.805 0.999
O9 0.804 0.160 0.987
O10 0.806 0.805 0.630
O11 0.430 0.917 0.858
O12 0.173 0.160 0.355
O13 0.040 0.534 0.495
Na1 0.161 0.427 0.795
Na2 0.632 0.427 0.266
W1 0.614 0.859 0.740
W2 0.119 0.859 0.245
Nb1 0.108 0.377 0.269
Nb2 0.130 0.905 0.775
# Total moment ... 2.094 μB per cell
# Uncorrected energy ... -139.08 eV/cell
# Space group ... Cm

=====

# 5
# NaNbWO6, relaxed, DFT GGA+U
data_NaNbWO6
_chemical_formula_sum 'Na2 Nb2 W2 O12'
_space_group_name_H-M_alt 'P 1'
_space_group_IT_number 1
_cell_length_a 4.913
_cell_length_b 4.913
_cell_length_c 9.427
_cell_angle_alpha 90.00
_cell_angle_beta 90.00
_cell_angle_gamma 90.00
loop_
_space_group_symop_operation_xyz
'x,y,z'
loop_
_atom_site_label
_atom_site_fract_x
_atom_site_fract_y
_atom_site_fract_z
O1 0.825 0.175 0.505
O2 0.285 0.285 0.303
O3 0.215 0.785 0.803
O4 0.175 0.825 0.505
O5 0.715 0.715 0.303
O6 0.785 0.215 0.803
O7 0.325 0.325 0.005
O8 0.277 0.277 0.693
O9 0.723 0.723 0.693
O10 0.777 0.223 0.193
O11 0.223 0.777 0.193
O12 0.675 0.675 0.005
Na1 0.500 0.500 0.500
Na2 0.000 0.000 0.000
W1 0.000 0.000 0.667
W2 0.500 0.500 0.167
Nb1 0.500 0.500 0.831
Nb2 0.000 0.000 0.331
# Excess energy over the best structure of this formula in the dataset ... 0.23 eV/f.u.
# Total moment ... 0.000 μB per cell
# Space group ... P4_2nm